Entry 1:
PBE BaCa2Ni, relaxed; spin magnetization = 0.00 μB/cell; ΔE_f = 0.306 eV/atom; D(E_F) = 1.16 states/eV per atom
1.0
-3.6048 2.9841 0.9414
0.3835 -1.0005 4.6403
3.7592 4.3437 0.6259
Ba Ni Ca
1 1 2
Direct
0.0000 0.5000 0.5000
0.5000 0.0000 0.5000
0.0000 0.0000 0.0000
0.5000 0.5000 0.0000



Entry 2:
PBE LiSmYS3, relaxed; spin magnetization = 0.00 μB/cell; E_form (uncorrected) = -10.9 eV/f.u.; D(E_F) = 0.31 states/eV per atom
1.0
3.8401 0.0000 0.0000
0.0000 8.0990 0.1684
0.0000 -1.9631 8.1746
S Sm Li Y
6 2 2 2
Direct
0.7500 0.2141 0.4951
0.7500 0.4249 0.1713
0.2500 0.5751 0.8287
0.2500 0.0964 0.8676
0.7500 0.9036 0.1324
0.2500 0.7859 0.5049
0.7500 0.8144 0.7794
0.2500 0.1856 0.2206
0.2500 0.0871 0.5841
0.7500 0.9129 0.4159
0.2500 0.6620 0.1668
0.7500 0.3380 0.8332



Entry 3:
PBE V2HIrAu, relaxed; spin magnetization = 0.15 μB/cell; total energy = -6.87 eV per atom; D(E_F) = 0.84 states/eV per atom
1.0
3.9050 0.0000 0.0000
0.0000 3.9050 0.0000
0.0000 0.0000 3.9507
H V Au Ir
1 2 1 1
Direct
0.0000 0.0000 0.0000
0.0000 0.5000 0.0000
0.5000 0.0000 0.0000
0.5000 0.5000 0.5000
0.0000 0.0000 0.5000



Entry 4:
PBE KHg2Pb2, relaxed; spin magnetization = 0.00 μB/cell; ΔE_f = -0.070 eV/atom; D(E_F) = 0.43 states/eV per atom
1.0
-5.3035 1.2616 -5.5644
-6.3622 -3.7615 -0.2601
-6.5754 6.0313 0.8432
K Hg Pb
2 4 4
Direct
0.8651 0.7711 0.2500
0.1349 0.2289 0.7500
0.5772 0.3453 0.2500
0.8619 0.7778 0.7501
0.4228 0.6547 0.7500
0.1381 0.2222 0.2499
0.7017 0.2263 0.5388
0.2983 0.7737 0.4612
0.5706 0.2264 0.9619
0.4294 0.7736 0.0381